1.
! PBE B5C7, optimized geometry; values from VASP
! - ΔH_f (0 K) (eV/atom) = 0.3064
! - total magnetization (μB/atom) = 0.00
! - electronic total energy (eV/atom) = -7.86
&SYSTEM
  ibrav = 0, nat = 12, ntyp = 2
/
ATOMIC_SPECIES
B 10.81 B.upf
C 12.01 C.upf
ATOMIC_POSITIONS crystal
B 0.0000 0.0000 0.0000
B 0.0087 0.0087 0.4199
B 0.1296 0.1296 0.7051
B 0.3551 0.3551 0.1229
B 0.7699 0.7699 0.5709
C 0.1115 0.1115 0.2495
C 0.3661 0.3661 0.6251
C 0.4337 0.4337 0.9049
C 0.4351 0.4351 0.4262
C 0.6861 0.6861 0.2741
C 0.6924 0.6924 0.7914
C 0.7607 0.7607 0.0733
CELL_PARAMETERS angstrom
5.9186 -1.3224 0.0000
5.9186 1.3224 0.0000
-1.2883 0.0000 5.1162

=====

2.
! PBE YZnPd2Ru, optimized geometry; values from VASP
! - ΔH_f (0 K) (eV/atom) = 0.6152
! - total magnetization (μB/atom) = 0.00
! - electronic total energy (eV/atom) = -4.86
&SYSTEM
  ibrav = 0, nat = 5, ntyp = 4
/
ATOMIC_SPECIES
Y 88.91 Y.upf
Zn 65.41 Zn.upf
Pd 106.42 Pd.upf
Ru 101.07 Ru.upf
ATOMIC_POSITIONS crystal
Y 0.0000 0.0000 0.0000
Zn 0.5000 0.5000 0.0000
Pd 0.0000 0.5000 0.5000
Pd 0.5000 0.0000 0.5000
Ru 0.0000 0.0000 0.5000
CELL_PARAMETERS angstrom
4.8859 0.0000 0.0000
0.0000 4.8859 0.0000
0.0000 0.0000 5.0494

=====

3.
! PBE Li3In4Ga, optimized geometry; values from VASP
! - ΔH_f (0 K) (eV/atom) = -0.1363
! - total magnetization (μB/atom) = 0.00
! - electronic total energy (eV/atom) = -2.60
&SYSTEM
  ibrav = 0, nat = 8, ntyp = 3
/
ATOMIC_SPECIES
Li 6.94 Li.upf
In 114.82 In.upf
Ga 69.72 Ga.upf
ATOMIC_POSITIONS crystal
Li 0.0000 0.0000 0.0000
Li 0.1465 0.6455 0.7045
Li 0.8535 0.3545 0.2955
In 0.2820 0.7787 0.4356
In 0.4097 0.9060 0.1860
In 0.5903 0.0940 0.8140
In 0.7180 0.2213 0.5644
Ga 0.5000 0.5000 0.0000
CELL_PARAMETERS angstrom
3.2537 0.0000 0.0000
0.0059 4.4191 0.0000
1.6176 1.7813 12.0150